No. 1
Entry from Alexandria: a relaxed TeBrO2F crystal (PBE).

Results
space group = No. 123
total moment = 0.49 μB/cell
energy relative to the elements, uncorrected = 0.326 eV/atom

Geometry as POSCAR:
```
TeBrO2F
1.0
3.7950 0.0000 0.0000
0.0000 3.7950 0.0000
0.0000 0.0000 6.2570
O Br F Te
2 1 1 1
direct
0.5000 0.0000 0.0000
0.0000 0.5000 0.0000
0.0000 0.0000 0.0000
0.0000 0.0000 0.5000
0.5000 0.5000 0.5000
```


No. 2
Entry from Alexandria: a relaxed AlTl2Ni crystal (PBE).

Results
space group = No. 6
total moment = 0.00 μB/cell
relative energy among the computed polymorphs = 0.53 eV/f.u.
energy relative to the elements = 0.16 eV/atom

Geometry as POSCAR:
```
AlTl2Ni
1.0
-0.3321 -1.9181 -2.9617
-2.1916 -3.1068 2.2578
-5.7651 0.9361 0.0401
Al Tl Ni
1 2 1
direct
0.0000 0.6881 0.4970
0.0000 0.9834 0.9083
0.5000 0.2839 0.3068
0.5000 0.5446 0.7879
```